A plane-wave DFT calculation with PBE was carried out for Au2SIF after structural relaxation.

Cell and atoms, written as CIF:
```
data_Au2SIF
_space_group_name_H-M_alt 'P 1'
_space_group_IT_number 1
_cell_length_a 4.3911
_cell_length_b 4.3911
_cell_length_c 6.0280
_cell_angle_alpha 90.00
_cell_angle_beta 90.00
_cell_angle_gamma 90.00
loop_
_space_group_symop_operation_xyz
'x,y,z'
loop_
_atom_site_label
_atom_site_type_symbol
_atom_site_fract_x
_atom_site_fract_y
_atom_site_fract_z
Au1 Au 0.0000 0.5000 0.0000
Au2 Au 0.5000 0.0000 0.0000
S1 S 0.0000 0.0000 0.5000
I1 I 0.5000 0.5000 0.5000
F1 F 0.0000 0.0000 0.0000
```

Summary:
Symmetry ... P4/mmm, No. 123
ΔE_f (raw) ... 0.478 eV per atom
Fermi-level density of states ... 1.7 states/eV/cell
Size of the total moment ... 0.00 Bohr magnetons per cell

=====

A plane-wave DFT calculation with PBE was carried out for Hf2CdSnF after structural relaxation.

Cell and atoms, written as CIF:
```
data_Hf2CdSnF
_space_group_name_H-M_alt 'P 1'
_space_group_IT_number 1
_cell_length_a 4.3824
_cell_length_b 4.3824
_cell_length_c 5.3192
_cell_angle_alpha 90.00
_cell_angle_beta 90.00
_cell_angle_gamma 90.00
loop_
_space_group_symop_operation_xyz
'x,y,z'
loop_
_atom_site_label
_atom_site_type_symbol
_atom_site_fract_x
_atom_site_fract_y
_atom_site_fract_z
Hf1 Hf 0.0000 0.5000 0.0000
Hf2 Hf 0.5000 0.0000 0.0000
Cd1 Cd 0.0000 0.0000 0.5000
Sn1 Sn 0.5000 0.5000 0.5000
F1 F 0.5000 0.5000 0.0000
```

Summary:
Symmetry ... P4/mmm, No. 123
ΔE_f (raw) ... -0.382 eV per atom
Fermi-level density of states ... 4.1 states/eV/cell
Size of the total moment ... 0.00 Bohr magnetons per cell

=====

A plane-wave DFT calculation with PBE was carried out for Ac3Dy2HoSe6 after structural relaxation.

Cell and atoms, written as CIF:
```
data_Ac3Dy2HoSe6
_space_group_name_H-M_alt 'P 1'
_space_group_IT_number 1
_cell_length_a 7.2065
_cell_length_b 7.2065
_cell_length_c 7.7217
_cell_angle_alpha 98.95
_cell_angle_beta 98.95
_cell_angle_gamma 120.13
loop_
_space_group_symop_operation_xyz
'x,y,z'
loop_
_atom_site_label
_atom_site_type_symbol
_atom_site_fract_x
_atom_site_fract_y
_atom_site_fract_z
Ac1 Ac 0.0000 0.0000 0.0000
Ac2 Ac 0.3328 0.6672 0.0000
Ac3 Ac 0.6672 0.3328 0.0000
Dy1 Dy 0.1666 0.8334 0.5000
Dy2 Dy 0.8334 0.1666 0.5000
Ho1 Ho 0.5000 0.5000 0.5000
Se1 Se 0.0953 0.4275 0.2818
Se2 Se 0.2407 0.2407 0.7187
Se3 Se 0.4275 0.0953 0.2818
Se4 Se 0.5725 0.9047 0.7182
Se5 Se 0.7593 0.7593 0.2813
Se6 Se 0.9047 0.5725 0.7182
```

Summary:
Symmetry ... C2/m, No. 12
ΔE_f (raw) ... -1.799 eV per atom
Fermi-level density of states ... 4.7 states/eV/cell
Size of the total moment ... 0.00 Bohr magnetons per cell

=====

A plane-wave DFT calculation with PBE was carried out for Pr2PuPt after structural relaxation.

Cell and atoms, written as CIF:
```
data_Pr2PuPt
_space_group_name_H-M_alt 'P 1'
_space_group_IT_number 1
_cell_length_a 10.8993
_cell_length_b 10.8993
_cell_length_c 10.8993
_cell_angle_alpha 20.00
_cell_angle_beta 20.00
_cell_angle_gamma 20.00
loop_
_space_group_symop_operation_xyz
'x,y,z'
loop_
_atom_site_label
_atom_site_type_symbol
_atom_site_fract_x
_atom_site_fract_y
_atom_site_fract_z
Pr1 Pr 0.1071 0.1071 0.1071
Pr2 Pr 0.8929 0.8929 0.8929
Pu1 Pu 0.0000 0.0000 0.0000
Pt1 Pt 0.5000 0.5000 0.5000
```

Summary:
Symmetry ... R-3m, No. 166
Formation enthalpy at 0 K ... -37 kJ/mol of formula units
Fermi-level density of states ... 13.1 states/eV/cell
Size of the total moment ... 6.49 Bohr magnetons per cell
ΔE to the lowest computed polymorph ... 282.8 meV/atom

=====

A plane-wave DFT calculation with PBE was carried out for SrLi6Au2 after structural relaxation.

Cell and atoms, written as CIF:
```
data_SrLi6Au2
_space_group_name_H-M_alt 'P 1'
_space_group_IT_number 1
_cell_length_a 4.3194
_cell_length_b 4.3194
_cell_length_c 10.1401
_cell_angle_alpha 90.00
_cell_angle_beta 90.00
_cell_angle_gamma 90.00
loop_
_space_group_symop_operation_xyz
'x,y,z'
loop_
_atom_site_label
_atom_site_type_symbol
_atom_site_fract_x
_atom_site_fract_y
_atom_site_fract_z
Sr1 Sr 0.0000 0.0000 0.0000
Li1 Li 0.0000 0.0000 0.5000
Li2 Li 0.0000 0.5000 0.2954
Li3 Li 0.0000 0.5000 0.7046
Li4 Li 0.5000 0.0000 0.2954
Li5 Li 0.5000 0.0000 0.7046
Li6 Li 0.5000 0.5000 0.5000
Au1 Au 0.5000 0.5000 0.1426
Au2 Au 0.5000 0.5000 0.8574
```

Summary:
Symmetry ... P4/mmm, No. 123
Formation enthalpy at 0 K ... -290 kJ/mol of formula units
Fermi-level density of states ... 3.9 states/eV/cell
Size of the total moment ... 0.00 Bohr magnetons per cell

=====

A plane-wave DFT calculation with PBE was carried out for Cs2Na2SnCl7 after structural relaxation.

Cell and atoms, written as CIF:
```
data_Cs2Na2SnCl7
_space_group_name_H-M_alt 'P 1'
_space_group_IT_number 1
_cell_length_a 5.9597
_cell_length_b 5.9597
_cell_length_c 13.7458
_cell_angle_alpha 95.21
_cell_angle_beta 95.21
_cell_angle_gamma 112.17
loop_
_space_group_symop_operation_xyz
'x,y,z'
loop_
_atom_site_label
_atom_site_type_symbol
_atom_site_fract_x
_atom_site_fract_y
_atom_site_fract_z
Cs1 Cs 0.2067 0.2067 0.3661
Cs2 Cs 0.7933 0.7933 0.6339
Na1 Na 0.3196 0.3196 0.8160
Na2 Na 0.6804 0.6804 0.1840
Sn1 Sn 0.0000 0.0000 0.0000
Cl1 Cl 0.1679 0.8222 0.8584
Cl2 Cl 0.1778 0.8321 0.1416
Cl3 Cl 0.2918 0.2918 0.6214
Cl4 Cl 0.5000 0.5000 0.0000
Cl5 Cl 0.7082 0.7082 0.3786
Cl6 Cl 0.8222 0.1679 0.8584
Cl7 Cl 0.8321 0.1778 0.1416
```

Summary:
Symmetry ... C2/m, No. 12
ΔE_f (raw) ... -1.424 eV per atom
Fermi-level density of states ... 4.7 states/eV/cell
Size of the total moment ... 0.00 Bohr magnetons per cell

=====

A plane-wave DFT calculation with PBE was carried out for Ba2InHg2 after structural relaxation.

Cell and atoms, written as CIF:
```
data_Ba2InHg2
_space_group_name_H-M_alt 'P 1'
_space_group_IT_number 1
_cell_length_a 10.3525
_cell_length_b 10.3525
_cell_length_c 10.3525
_cell_angle_alpha 155.44
_cell_angle_beta 155.44
_cell_angle_gamma 35.01
loop_
_space_group_symop_operation_xyz
'x,y,z'
loop_
_atom_site_label
_atom_site_type_symbol
_atom_site_fract_x
_atom_site_fract_y
_atom_site_fract_z
Ba1 Ba 0.1039 0.1039 0.0000
Ba2 Ba 0.8961 0.8961 0.0000
In1 In 0.5000 0.5000 0.0000
Hg1 Hg 0.2500 0.7500 0.5000
Hg2 Hg 0.7500 0.2500 0.5000
```

Summary:
Symmetry ... I4/mmm, No. 139
Formation enthalpy at 0 K ... -165 kJ/mol of formula units
Fermi-level density of states ... 3.2 states/eV/cell
Size of the total moment ... 0.00 Bohr magnetons per cell
ΔE to the lowest computed polymorph ... 120.7 meV/atom

=====

A plane-wave DFT calculation with PBE was carried out for CaZr2P after structural relaxation.

Cell and atoms, written as CIF:
```
data_CaZr2P
_space_group_name_H-M_alt 'P 1'
_space_group_IT_number 1
_cell_length_a 3.4809
_cell_length_b 3.4809
_cell_length_c 7.8422
_cell_angle_alpha 90.00
_cell_angle_beta 90.00
_cell_angle_gamma 90.00
loop_
_space_group_symop_operation_xyz
'x,y,z'
loop_
_atom_site_label
_atom_site_type_symbol
_atom_site_fract_x
_atom_site_fract_y
_atom_site_fract_z
Ca1 Ca 0.0000 0.0000 0.0000
Zr1 Zr 0.0000 0.0000 0.4065
Zr2 Zr 0.5000 0.5000 0.6507
P1 P 0.5000 0.5000 0.2694
```

Summary:
Symmetry ... P4mm, No. 99
Formation enthalpy at 0 K ... -192 kJ/mol of formula units
Fermi-level density of states ... 2.9 states/eV/cell
Size of the total moment ... 0.00 Bohr magnetons per cell

=====

A plane-wave DFT calculation with PBE was carried out for SrGa4Ni2Rh after structural relaxation.

Cell and atoms, written as CIF:
```
data_SrGa4Ni2Rh
_space_group_name_H-M_alt 'P 1'
_space_group_IT_number 1
_cell_length_a 9.8303
_cell_length_b 9.8303
_cell_length_c 9.8303
_cell_angle_alpha 24.28
_cell_angle_beta 24.28
_cell_angle_gamma 24.28
loop_
_space_group_symop_operation_xyz
'x,y,z'
loop_
_atom_site_label
_atom_site_type_symbol
_atom_site_fract_x
_atom_site_fract_y
_atom_site_fract_z
Sr1 Sr 0.0000 0.0000 0.0000
Ga1 Ga 0.1312 0.1312 0.1312
Ga2 Ga 0.4084 0.4084 0.4084
Ga3 Ga 0.5916 0.5916 0.5916
Ga4 Ga 0.8688 0.8688 0.8688
Ni1 Ni 0.2242 0.2242 0.2242
Ni2 Ni 0.7758 0.7758 0.7758
Rh1 Rh 0.5000 0.5000 0.5000
```

Summary:
Symmetry ... R-3m, No. 166
Formation enthalpy at 0 K ... -361 kJ/mol of formula units
Fermi-level density of states ... 3.5 states/eV/cell
Size of the total moment ... 0.00 Bohr magnetons per cell

=====

A plane-wave DFT calculation with PBE was carried out for Na2Ti2AgTe6 after structural relaxation.

Cell and atoms, written as CIF:
```
data_Na2Ti2AgTe6
_space_group_name_H-M_alt 'P 1'
_space_group_IT_number 1
_cell_length_a 7.0181
_cell_length_b 7.0181
_cell_length_c 8.0814
_cell_angle_alpha 97.71
_cell_angle_beta 97.71
_cell_angle_gamma 121.10
loop_
_space_group_symop_operation_xyz
'x,y,z'
loop_
_atom_site_label
_atom_site_type_symbol
_atom_site_fract_x
_atom_site_fract_y
_atom_site_fract_z
Na1 Na 0.1579 0.8421 0.0000
Na2 Na 0.8421 0.1579 0.0000
Ti1 Ti 0.3337 0.6663 0.5000
Ti2 Ti 0.6663 0.3337 0.5000
Ag1 Ag 0.0000 0.0000 0.5000
Te1 Te 0.0656 0.4218 0.7114
Te2 Te 0.2872 0.2872 0.2895
Te3 Te 0.4218 0.0656 0.7114
Te4 Te 0.5782 0.9344 0.2886
Te5 Te 0.7128 0.7128 0.7105
Te6 Te 0.9344 0.5782 0.2886
```

Summary:
Symmetry ... C2/m, No. 12
ΔE_f (raw) ... -0.577 eV per atom
Fermi-level density of states ... 2.8 states/eV/cell
Size of the total moment ... 0.00 Bohr magnetons per cell

=====

A plane-wave DFT calculation with PBE was carried out for KZr2Co after structural relaxation.

Cell and atoms, written as CIF:
```
data_KZr2Co
_space_group_name_H-M_alt 'P 1'
_space_group_IT_number 1
_cell_length_a 3.0678
_cell_length_b 5.3538
_cell_length_c 5.5004
_cell_angle_alpha 90.00
_cell_angle_beta 90.00
_cell_angle_gamma 90.00
loop_
_space_group_symop_operation_xyz
'x,y,z'
loop_
_atom_site_label
_atom_site_type_symbol
_atom_site_fract_x
_atom_site_fract_y
_atom_site_fract_z
K1 K 0.0000 0.0000 0.0000
Zr1 Zr 0.0000 0.5000 0.5000
Zr2 Zr 0.5000 0.0000 0.5000
Co1 Co 0.5000 0.5000 0.0000
```

Summary:
Symmetry ... Pmmm, No. 47
Formation enthalpy at 0 K ... 394 kJ/mol of formula units
Fermi-level density of states ... 5.6 states/eV/cell
Size of the total moment ... 1.01 Bohr magnetons per cell
ΔE to the lowest computed polymorph ... 759.2 meV/atom

=====

A plane-wave DFT calculation with PBE was carried out for Pr3SmPa2N6 after structural relaxation.

Cell and atoms, written as CIF:
```
data_Pr3SmPa2N6
_space_group_name_H-M_alt 'P 1'
_space_group_IT_number 1
_cell_length_a 6.2172
_cell_length_b 6.2172
_cell_length_c 6.2787
_cell_angle_alpha 99.49
_cell_angle_beta 99.49
_cell_angle_gamma 120.01
loop_
_space_group_symop_operation_xyz
'x,y,z'
loop_
_atom_site_label
_atom_site_type_symbol
_atom_site_fract_x
_atom_site_fract_y
_atom_site_fract_z
Pr1 Pr 0.0000 0.0000 0.0000
Pr2 Pr 0.3346 0.6654 0.0000
Pr3 Pr 0.6654 0.3346 0.0000
Sm1 Sm 0.5000 0.5000 0.5000
Pa1 Pa 0.1668 0.8332 0.5000
Pa2 Pa 0.8332 0.1668 0.5000
N1 N 0.0751 0.4278 0.2843
N2 N 0.2182 0.2182 0.7134
N3 N 0.4278 0.0751 0.2843
N4 N 0.5722 0.9249 0.7157
N5 N 0.7818 0.7818 0.2866
N6 N 0.9249 0.5722 0.7157
```

Summary:
Symmetry ... C2/m, No. 12
ΔE_f (raw) ... -1.541 eV per atom
Fermi-level density of states ... 5.3 states/eV/cell
Size of the total moment ... 0.00 Bohr magnetons per cell